# 1
VASP calculation (PBE) on crystalline HIrS2 at its relaxed geometry.

Results
E_tot	-0.195	Ha/atom

Cell lengths 7.325, 12.258, 11.496 Å; angles 90.00, 106.77, 90.00 degrees
Space group C2/c (No. 15)
Inequivalent atoms, fractional coordinates:
H  0.108  0.140  0.327
H  0.114  0.092  0.633
Ir  0.070  0.457  0.874
Ir  0.191  0.293  0.137
S  0.000  0.216  0.250
S  0.000  0.294  0.750
S  0.084  0.383  0.490
S  0.167  0.138  0.009
S  0.225  0.043  0.738



# 2
VASP calculation (PBE) on crystalline Tb2PmPd3 at its relaxed geometry.

Results
E_tot	-0.212	Ha/atom
energy relative to the elements	-835	meV per atom

Cell lengths 5.068, 15.261, 3.465 Å; angles 90.00, 90.00, 90.00 degrees
Space group Pmmn (No. 59, origin choice 2)
Inequivalent atoms, fractional coordinates:
Tb  0.250  0.083  0.001
Pm  0.250  0.750  0.998
Pd  0.250  0.250  0.502
Pd  0.250  0.577  0.500



# 3
VASP calculation (PBE) on crystalline CuSe2Cl at its relaxed geometry.

Results
E_tot	-0.116	Ha/atom

Cell lengths 3.634, 3.634, 15.686 Å; angles 90.00, 90.00, 90.00 degrees
Space group I4/mmm (No. 139)
Inequivalent atoms, fractional coordinates:
Cu  0.000  0.000  0.000
Se  0.000  0.500  0.250
Cl  0.000  0.000  0.500



# 4
VASP calculation (PBE) on crystalline La2DyHo2Er at its relaxed geometry.

Results
E_tot	-0.170	Ha/atom
energy relative to the elements	70	meV per atom

Cell lengths 7.066, 5.684, 9.850 Å; angles 90.00, 90.00, 90.00 degrees
Space group Pmma (No. 51)
Inequivalent atoms, fractional coordinates:
La  0.000  0.000  0.000
La  0.250  0.500  0.179
Dy  0.250  0.000  0.658
Ho  0.250  0.000  0.335
Ho  0.250  0.500  0.833
Er  0.000  0.500  0.500